A relaxed AcTb2Sm crystal, computed with GGA-PBE.

a = 3.720 Å, b = 3.720 Å, c = 10.246 Å
α = 90.00°, β = 90.00°, γ = 90.00°
Atoms (fractional coordinates):
Ac  0.000  0.000  0.000
Tb  0.500  0.500  0.262
Tb  0.500  0.500  0.738
Sm  0.000  0.000  0.500

Summary:
- Polymorph energy (0 for the lowest one): 4 meV/atom
- Energy of formation: 0.049 eV per atom
- Symmetry: P4/mmm (123)



A relaxed SbPb2I2 crystal, computed with GGA-PBE.

a = 9.095 Å, b = 9.095 Å, c = 4.401 Å
α = 90.00°, β = 90.00°, γ = 90.00°
Atoms (fractional coordinates):
Sb  0.000  0.000  0.000
Sb  0.500  0.500  0.000
Pb  0.181  0.319  0.000
Pb  0.319  0.819  0.000
Pb  0.681  0.181  0.000
Pb  0.819  0.681  0.000
I  0.141  0.641  0.500
I  0.359  0.141  0.500
I  0.641  0.859  0.500
I  0.859  0.359  0.500

Summary:
- Polymorph energy (0 for the lowest one): 178 meV/atom
- E_form (uncorrected): -0.07 eV per atom
- Symmetry: P4/mbm (127)



A relaxed AgMoAs2 crystal, computed with GGA-PBE.

a = 4.617 Å, b = 4.617 Å, c = 4.617 Å
α = 60.00°, β = 60.00°, γ = 60.00°
Atoms (fractional coordinates):
Ag  0.000  0.000  0.000
Mo  0.500  0.500  0.500
As  0.250  0.250  0.250
As  0.750  0.750  0.750

Summary:
- Polymorph energy (0 for the lowest one): 367 meV/atom
- Energy of formation: 0.371 eV per atom
- Symmetry: Fm-3m (225)



A relaxed SmYTlAu crystal, computed with GGA-PBE.

a = 3.661 Å, b = 3.661 Å, c = 7.805 Å
α = 90.00°, β = 90.00°, γ = 90.00°
Atoms (fractional coordinates):
Sm  0.000  0.000  0.000
Y  0.000  0.000  0.461
Tl  0.500  0.500  0.727
Au  0.500  0.500  0.248

Summary:
- Polymorph energy (0 for the lowest one): 0 meV/atom
- Energy of formation: -0.608 eV per atom
- Symmetry: P4mm (99)



A relaxed NiAg2Ir crystal, computed with GGA-PBE.

a = 4.743 Å, b = 4.743 Å, c = 4.743 Å
α = 129.90°, β = 129.90°, γ = 73.56°
Atoms (fractional coordinates):
Ni  0.000  0.000  0.000
Ag  0.250  0.750  0.500
Ag  0.500  0.500  0.000
Ir  0.750  0.250  0.500

Summary:
- Polymorph energy (0 for the lowest one): 250 meV/atom
- Energy of formation: 0.454 eV per atom
- Symmetry: I-4m2 (119)



A relaxed TaRuRh2 crystal, computed with GGA-PBE.

a = 2.768 Å, b = 2.768 Å, c = 7.827 Å
α = 90.00°, β = 90.00°, γ = 90.00°
Atoms (fractional coordinates):
Ta  0.000  0.000  0.000
Ru  0.000  0.000  0.500
Rh  0.500  0.500  0.259
Rh  0.500  0.500  0.741

Summary:
- Polymorph energy (0 for the lowest one): 308 meV/atom
- Energy of formation: -0.165 eV per atom
- Symmetry: P4/mmm (123)



| no. | electronic total energy (eV per atom) |
| --- | --- |
| 1 | -4.474 |
| 2 | -2.995 |
| 3 | -5.374 |
| 4 | -4.815 |
| 5 | -4.633 |
| 6 | -9.123 |